Record 1
Entry from the Alexandria database: a relaxed structure of LiSiPt4 (PBE).

a = 5.3694 Å, b = 4.6999 Å, c = 7.7420 Å
α = 100.04°, β = 110.38°, γ = 90.08°
With the nearest neighbours (Å) after each atom.
Positions (direct):
Pt  0.2838  0.5526  0.8230  1 Si 2.40, 1 Li 2.62
Pt  0.9707  0.9914  0.6720  2 Si 2.42-2.49, 1 Li 2.48
Pt  0.7162  0.4474  0.1770  1 Si 2.40, 1 Li 2.62
Pt  0.2979  0.5085  0.3277  2 Si 2.42-2.49, 1 Li 2.48
Pt  0.0293  0.0086  0.3280  2 Si 2.42-2.49, 1 Li 2.48
Pt  0.7021  0.4915  0.6723  2 Si 2.42-2.49, 1 Li 2.48
Pt  0.4594  0.9472  0.1771  1 Si 2.40, 1 Li 2.61
Pt  0.5406  0.0528  0.8229  1 Si 2.40, 1 Li 2.61
Li  0.9220  0.7498  0.0002  4 Pt 2.48-2.62, 2 Li 2.49-2.50
Li  0.0780  0.2502  0.9998  4 Pt 2.48-2.62, 2 Li 2.49-2.50
Si  0.0000  0.5000  0.5000  6 Pt 2.40-2.49
Si  0.5000  0.0000  0.5000  6 Pt 2.40-2.49

Its density of states at the Fermi level is 0.39 states/eV/atom. The value obtained for the volume is 179.9 Å³ per cell. As for the crystal system: triclinic. Its energy above the most stable polymorph in this dataset is 0.000 eV/atom. The calculation puts the uncorrected formation energy at -0.46 eV/atom.



Record 2
Entry from the Alexandria database: a relaxed structure of NaPr6Tl5 (PBE).

a = 10.2775 Å, b = 6.7918 Å, c = 6.6966 Å
α = 59.53°, β = 84.42°, γ = 78.94°
With the nearest neighbours (Å) after each atom.
Positions (direct):
Tl  0.0000  0.3028  0.3944  6 Pr 3.34-3.43, 1 Na 3.50, 2 Tl 3.61
Tl  0.5000  0.1398  0.7204  1 Tl 3.23, 6 Pr 3.31-3.43
Tl  0.5000  0.8602  0.2796  1 Tl 3.23, 6 Pr 3.31-3.43
Tl  0.5000  0.5000  0.0000  6 Pr 3.30-3.35
Tl  0.0000  0.6972  0.6056  6 Pr 3.34-3.43, 1 Na 3.50, 2 Tl 3.61
Pr  0.2681  0.5459  0.3592  5 Tl 3.30-3.41, 1 Na 3.66
Pr  0.7319  0.4541  0.6408  5 Tl 3.30-3.41, 1 Na 3.66
Pr  0.2340  0.2825  0.0000  5 Tl 3.35-3.43, 1 Na 3.35, 4 Pr 3.72-3.73
Pr  0.7660  0.7175  0.0000  5 Tl 3.35-3.43, 1 Na 3.35, 4 Pr 3.72-3.73
Pr  0.2681  0.9050  0.6408  5 Tl 3.30-3.41, 1 Na 3.66
Pr  0.7319  0.0950  0.3592  5 Tl 3.30-3.41, 1 Na 3.66
Na  0.0000  0.0000  0.0000  6 Pr 3.35-3.66, 2 Tl 3.50

The formation energy comes out at -0.172 eV per atom. Its density of states at the Fermi level is 0.98 states/eV/atom. The value obtained for the volume is 395.4 Å³ per cell. As for the crystal system: monoclinic. Its energy above the most stable polymorph in this dataset is 0.135 eV/atom.